(1)
## HfPtAu (PBE-GGA)

Data for a relaxed structure of HfPtAu.

Computed properties:
M_tot in μB/f.u.: 0.0
Formation enthalpy at 0 K in eV/atom: -0.4790

Unit cell a=6.3198 b=6.3198 c=6.3198 alpha=90.00 beta=90.00 gamma=90.00
Space group F-43m (No. 216)
Unique sites:
Hf 0.0000 0.0000 0.0000 [4 per cell]
Pt 0.2500 0.2500 0.2500 [4 per cell]
Au 0.2500 0.2500 0.7500 [4 per cell]

=====

(2)
## RbCoAgSeS2 (PBE-GGA)

Data for a relaxed structure of RbCoAgSeS2.

Computed properties:
M_tot in μB/f.u.: 0.2

Unit cell a=3.4740 b=16.1046 c=9.9580 alpha=90.00 beta=90.00 gamma=90.00
Space group Cmcm (No. 63)
Unique sites:
Rb 0.0000 0.2370 0.2500 [4 per cell]
Co 0.0000 0.5000 0.0000 [4 per cell]
Ag 0.0000 0.0780 0.7500 [4 per cell]
Se 0.0000 0.4472 0.7500 [4 per cell]
S 0.0000 0.0942 0.5107 [8 per cell]

=====

(3)
## Ag2Pd4Au3 (PBE-GGA)

Data for a relaxed structure of Ag2Pd4Au3.

Computed properties:
Formation enthalpy at 0 K in eV/atom: -0.0928

Unit cell a=12.2048 b=4.0423 c=6.4039 alpha=90.00 beta=108.68 gamma=90.00
Space group C2/m (No. 12)
Unique sites:
Ag 0.1663 0.0000 0.0007 [4 per cell]
Pd 0.0570 0.0000 0.3353 [4 per cell]
Pd 0.2220 0.5000 0.3374 [4 per cell]
Au 0.0000 0.5000 0.0000 [2 per cell]
Au 0.1122 0.5000 0.6620 [4 per cell]

=====

(4)
## NaDySi (PBE-GGA)

Data for a relaxed structure of NaDySi.

Computed properties:
M_tot in μB/f.u.: 0.0

Unit cell a=6.8264 b=6.8264 c=6.8264 alpha=90.00 beta=90.00 gamma=90.00
Space group F-43m (No. 216)
Unique sites:
Na 0.0000 0.0000 0.0000 [4 per cell]
Dy 0.0000 0.0000 0.5000 [4 per cell]
Si 0.2500 0.2500 0.7500 [4 per cell]

=====

(5)
## RbMgAsPd (PBE-GGA)

Data for a relaxed structure of RbMgAsPd.

Unit cell a=7.2259 b=7.2259 c=7.2259 alpha=90.00 beta=90.00 gamma=90.00
Space group F-43m (No. 216)
Unique sites:
Rb 0.0000 0.0000 0.0000 [4 per cell]
Mg 0.0000 0.0000 0.5000 [4 per cell]
As 0.2500 0.2500 0.7500 [4 per cell]
Pd 0.2500 0.2500 0.2500 [4 per cell]

=====

(6)
## CsLuSO (PBE-GGA)

Data for a relaxed structure of CsLuSO.

Computed properties:
M_tot in μB/f.u.: 0.0

Unit cell a=8.0763 b=9.0801 c=6.6491 alpha=90.00 beta=90.00 gamma=90.00
Space group Pca2_1 (No. 29)
Unique sites:
Cs 0.1177 0.1095 0.0000 [4 per cell]
Lu 0.0737 0.6275 0.0272 [4 per cell]
S 0.1176 0.5911 0.6402 [4 per cell]
O 0.0222 0.1801 0.5745 [4 per cell]

=====

What final energy values result from the calculations? In sequence: -6.905; -4.046; -4.109; -3.977; -2.964; -5.616 eV per atom.